Entry 1:
# BaNa3Mg

An optimized crystal structure of BaNa3Mg (PBE, Alexandria).

Cell lengths 7.165, 7.165, 7.165 Å; angles 90.00, 90.00, 90.00 degrees
Each line ends with the local moment (μB).
Element x y z (fractional)
1 Na 0.000 0.500 0.000  0.03
2 Na 0.000 0.000 0.500  0.03
3 Na 0.500 0.000 0.000  0.02
4 Mg 0.500 0.500 0.500  0.01
5 Ba 0.000 0.000 0.000  0.16

**Total moment**: 0.886 μB per formula unit
**E_form**: 780 meV/atom
**E above lowest polymorph**: 56.75 kJ/mol of atoms
**Crystal system**: cubic

=====

Entry 2:
# SmHfPd2

An optimized crystal structure of SmHfPd2 (PBE, Alexandria).

Cell lengths 3.344, 3.344, 7.393 Å; angles 90.00, 90.00, 90.00 degrees
Element x y z (fractional)
1 Sm 0.500 0.500 0.500
2 Pd 0.000 0.000 0.795
3 Pd 0.000 0.000 0.205
4 Hf 0.500 0.500 0.000

**Total moment**: 0.000 μB per formula unit
**E_form**: -709 meV/atom
**E above lowest polymorph**: 0.00 kJ/mol of atoms
**Crystal system**: tetragonal

=====

Entry 3:
# CdRe2As

An optimized crystal structure of CdRe2As (PBE, Alexandria).

Cell lengths 5.306, 5.306, 5.306 Å; angles 137.23, 137.23, 62.09 degrees
Element x y z (fractional)
1 Re 0.500 0.500 0.000
2 Re 0.000 0.000 0.000
3 As 0.250 0.750 0.500
4 Cd 0.750 0.250 0.500

**Total moment**: 0.000 μB per formula unit
**E_form**: 945 meV/atom
**E above lowest polymorph**: 72.12 kJ/mol of atoms
**Crystal system**: tetragonal

=====

Entry 4:
# PPtF

An optimized crystal structure of PPtF (PBE, Alexandria).

Cell lengths 3.576, 3.624, 9.889 Å; angles 79.70, 79.48, 59.86 degrees
Element x y z (fractional)
1 P 0.764 0.768 0.704
2 P 0.236 0.232 0.296
3 F 0.294 0.284 0.130
4 F 0.706 0.716 0.870
5 Pt 0.127 0.135 0.606
6 Pt 0.873 0.865 0.394

**Formation energy without anion corrections**: -121.38 kJ per mole of atoms
**Total moment**: 0.000 μB per formula unit
**Crystal system**: triclinic

=====

Entry 5:
# Li4AcSn4

An optimized crystal structure of Li4AcSn4 (PBE, Alexandria).

Cell lengths 6.714, 6.714, 9.577 Å; angles 90.00, 90.00, 90.00 degrees
Element x y z (fractional)
1 Li 0.500 0.234 0.090
2 Li 0.234 0.500 0.910
3 Li 0.766 0.500 0.910
4 Li 0.734 0.000 0.590
5 Li 0.000 0.266 0.410
6 Li 0.266 0.000 0.590
7 Li 0.000 0.734 0.410
8 Li 0.500 0.766 0.090
9 Sn 0.213 0.500 0.204
10 Sn 0.713 0.000 0.296
11 Sn 0.787 0.500 0.204
12 Sn 0.500 0.213 0.796
13 Sn 0.287 0.000 0.296
14 Sn 0.000 0.287 0.704
15 Sn 0.000 0.713 0.704
16 Sn 0.500 0.787 0.796
17 Ac 0.500 0.500 0.500
18 Ac 0.000 0.000 0.000

**Total moment**: 0.000 μB per formula unit
**E_form**: -406 meV/atom
**Crystal system**: tetragonal

=====

Entry 6:
# Pr2MgPd6

An optimized crystal structure of Pr2MgPd6 (PBE, Alexandria).

Cell lengths 5.907, 5.856, 5.856 Å; angles 60.00, 90.00, 90.00 degrees
Element x y z (fractional)
1 Mg 0.000 0.000 0.000
2 Pd 0.684 0.175 0.175
3 Pd 0.316 0.349 0.825
4 Pd 0.316 0.825 0.825
5 Pd 0.316 0.825 0.349
6 Pd 0.684 0.651 0.175
7 Pd 0.684 0.175 0.651
8 Pr 0.185 0.333 0.333
9 Pr 0.815 0.667 0.667

**Total moment**: 0.000 μB per formula unit
**E_form**: -711 meV/atom
**Crystal system**: trigonal

=====

Q: What is the formula in the third record?
A: CdRe2As